VASP calculation (PBE) on NpUMnPt after structural relaxation.

Formation energy from the elements (meV/atom): -361.5
Calculated density (g/cm³): 17.3

Cell and atoms, written as CIF:
```
data_NpUMnPt
_chemical_formula_sum 'Np4 U4 Mn4 Pt4'
_symmetry_space_group_name_H-M 'F -4 3 m'
_symmetry_Int_Tables_number 216
_symmetry_space_group_name_Hall 'F -4 2 3'
_cell_length_a 6.536
_cell_length_b 6.536
_cell_length_c 6.536
_cell_angle_alpha 90.00
_cell_angle_beta 90.00
_cell_angle_gamma 90.00
loop_
_atom_site_label
_atom_site_type_symbol
_atom_site_fract_x
_atom_site_fract_y
_atom_site_fract_z
Np1 Np 0.000 0.000 0.000
U1 U 0.250 0.250 0.750
Mn1 Mn 0.000 0.000 0.500
Pt1 Pt 0.250 0.250 0.250
```